1.
# GaPd3Cl (PBE, optimized geometry)
data_GaPd3Cl
_space_group_name_H-M_alt 'P m -3 m'
_space_group_IT_number 221
_space_group_name_Hall '-P 4 2 3'
_cell_length_a 4.618
_cell_length_b 4.618
_cell_length_c 4.618
_cell_angle_alpha 90.00
_cell_angle_beta 90.00
_cell_angle_gamma 90.00
loop_
_atom_site_label
_atom_site_type_symbol
_atom_site_fract_x
_atom_site_fract_y
_atom_site_fract_z
Ga1 Ga 0.000 0.000 0.000
Pd1 Pd 0.000 0.500 0.500
Cl1 Cl 0.500 0.500 0.500
# raw total energy: -3.756 eV per atom
# ρ: 7.16 Mg/m³

2.
# GaPd2Cl (PBE, optimized geometry)
data_GaPd2Cl
_space_group_name_H-M_alt 'F m -3 m'
_space_group_IT_number 225
_space_group_name_Hall '-F 4 2 3'
_cell_length_a 6.376
_cell_length_b 6.376
_cell_length_c 6.376
_cell_angle_alpha 90.00
_cell_angle_beta 90.00
_cell_angle_gamma 90.00
loop_
_atom_site_label
_atom_site_type_symbol
_atom_site_fract_x
_atom_site_fract_y
_atom_site_fract_z
Ga1 Ga 0.000 0.000 0.000
Pd1 Pd 0.250 0.250 0.250
Cl1 Cl 0.000 0.000 0.500
# raw total energy: -3.962 eV per atom
# ρ: 8.15 Mg/m³

3.
# GaPd2Cl (PBE, optimized geometry)
data_GaPd2Cl
_space_group_name_H-M_alt 'I -4 2 d'
_space_group_IT_number 122
_space_group_name_Hall 'I -4 2bw'
_cell_length_a 4.268
_cell_length_b 4.268
_cell_length_c 16.464
_cell_angle_alpha 90.00
_cell_angle_beta 90.00
_cell_angle_gamma 90.00
loop_
_atom_site_label
_atom_site_type_symbol
_atom_site_fract_x
_atom_site_fract_y
_atom_site_fract_z
Ga1 Ga 0.000 0.000 0.000
Pd1 Pd 0.238 0.250 0.125
Cl1 Cl 0.000 0.000 0.500
# raw total energy: -3.958 eV per atom
# ρ: 7.04 Mg/m³

4.
# GaPdCl3 (PBE, optimized geometry)
data_GaPdCl3
_space_group_name_H-M_alt 'P m -3 m'
_space_group_IT_number 221
_space_group_name_Hall '-P 4 2 3'
_cell_length_a 4.923
_cell_length_b 4.923
_cell_length_c 4.923
_cell_angle_alpha 90.00
_cell_angle_beta 90.00
_cell_angle_gamma 90.00
loop_
_atom_site_label
_atom_site_type_symbol
_atom_site_fract_x
_atom_site_fract_y
_atom_site_fract_z
Ga1 Ga 0.000 0.000 0.000
Pd1 Pd 0.500 0.500 0.500
Cl1 Cl 0.000 0.500 0.500
# raw total energy: -3.244 eV per atom
# ρ: 3.93 Mg/m³

5.
# GaPd3Cl (PBE, optimized geometry)
data_GaPd3Cl
_space_group_name_H-M_alt 'P m -3 m'
_space_group_IT_number 221
_space_group_name_Hall '-P 4 2 3'
_cell_length_a 4.717
_cell_length_b 4.717
_cell_length_c 4.717
_cell_angle_alpha 90.00
_cell_angle_beta 90.00
_cell_angle_gamma 90.00
loop_
_atom_site_label
_atom_site_type_symbol
_atom_site_fract_x
_atom_site_fract_y
_atom_site_fract_z
Ga1 Ga 0.000 0.000 0.000
Pd1 Pd 0.000 0.000 0.500
Cl1 Cl 0.500 0.500 0.500
# raw total energy: -3.800 eV per atom
# ρ: 6.72 Mg/m³

6.
# Ga2PdCl (PBE, optimized geometry)
data_Ga2PdCl
_space_group_name_H-M_alt 'F m -3 m'
_space_group_IT_number 225
_space_group_name_Hall '-F 4 2 3'
_cell_length_a 6.832
_cell_length_b 6.832
_cell_length_c 6.832
_cell_angle_alpha 90.00
_cell_angle_beta 90.00
_cell_angle_gamma 90.00
loop_
_atom_site_label
_atom_site_type_symbol
_atom_site_fract_x
_atom_site_fract_y
_atom_site_fract_z
Ga1 Ga 0.250 0.250 0.250
Pd1 Pd 0.000 0.000 0.000
Cl1 Cl 0.000 0.000 0.500
# raw total energy: -3.328 eV per atom
# ρ: 5.86 Mg/m³

7.
# Ga2PdCl (PBE, optimized geometry)
data_Ga2PdCl
_space_group_name_H-M_alt 'I -4 2 d'
_space_group_IT_number 122
_space_group_name_Hall 'I -4 2bw'
_cell_length_a 6.046
_cell_length_b 6.046
_cell_length_c 11.950
_cell_angle_alpha 90.00
_cell_angle_beta 90.00
_cell_angle_gamma 90.00
loop_
_atom_site_label
_atom_site_type_symbol
_atom_site_fract_x
_atom_site_fract_y
_atom_site_fract_z
Ga1 Ga 0.196 0.250 0.125
Pd1 Pd 0.000 0.000 0.000
Cl1 Cl 0.000 0.000 0.500
# raw total energy: -3.569 eV per atom
# ρ: 4.28 Mg/m³

8.
# GaPdCl2 (PBE, optimized geometry)
data_GaPdCl2
_space_group_name_H-M_alt 'I -4 2 d'
_space_group_IT_number 122
_space_group_name_Hall 'I -4 2bw'
_cell_length_a 5.735
_cell_length_b 5.735
_cell_length_c 14.066
_cell_angle_alpha 90.00
_cell_angle_beta 90.00
_cell_angle_gamma 90.00
loop_
_atom_site_label
_atom_site_type_symbol
_atom_site_fract_x
_atom_site_fract_y
_atom_site_fract_z
Ga1 Ga 0.000 0.000 0.000
Pd1 Pd 0.000 0.000 0.500
Cl1 Cl 0.181 0.250 0.625
# raw total energy: -3.211 eV per atom
# ρ: 3.55 Mg/m³

9.
# GaPdCl6 (PBE, optimized geometry)
data_GaPdCl6
_space_group_name_H-M_alt 'P -1'
_space_group_IT_number 2
_cell_length_a 6.085
_cell_length_b 6.117
_cell_length_c 6.477
_cell_angle_alpha 61.94
_cell_angle_beta 64.50
_cell_angle_gamma 62.48
loop_
_space_group_symop_operation_xyz
'x,y,z'
'-x,-y,-z'
loop_
_atom_site_label
_atom_site_type_symbol
_atom_site_fract_x
_atom_site_fract_y
_atom_site_fract_z
Ga1 Ga 0.000 0.000 0.000
Pd1 Pd 0.500 0.500 0.500
Cl1 Cl 0.081 0.766 0.767
Cl2 Cl 0.260 0.588 0.246
Cl3 Cl 0.406 0.103 0.744
# raw total energy: -2.991 eV per atom
# ρ: 3.56 Mg/m³

10.
# RbGaPdCl6 (PBE, optimized geometry)
data_RbGaPdCl6
_space_group_name_H-M_alt 'P 3 1 2'
_space_group_IT_number 149
_cell_length_a 6.4593
_cell_length_b 6.4593
_cell_length_c 7.3934
_cell_angle_alpha 90.00
_cell_angle_beta 90.00
_cell_angle_gamma 120.00
loop_
_space_group_symop_operation_xyz
'x,y,z'
'-y,x-y,z'
'-x+y,-x,z'
'-y,-x,-z'
'-x+y,y,-z'
'x,x-y,-z'
loop_
_atom_site_label
_atom_site_type_symbol
_atom_site_fract_x
_atom_site_fract_y
_atom_site_fract_z
Rb1 Rb 0.0000 0.0000 0.0000
Ga1 Ga 0.6667 0.3333 0.5000
Pd1 Pd 0.3333 0.6667 0.5000
Cl1 Cl 0.3774 0.0160 0.6873
# raw total energy: -3.280 eV per atom
# ρ: 2.95 Mg/m³

What is the ρ in the third record? 7.04 Mg/m³

Look up the raw total energy of the second one. -3.962 eV per atom

Which formula does entry 1 have? GaPd3Cl